(1)
NpPaTeSe: optimized geometry, PBE.

The value obtained for the calculated density is 11.339 g/cm3.

The space group is F-43m (No. 216) and the conventional cell measures 7.3383, 7.3383 and 7.3383 Å, with angles of 90.00, 90.00 and 90.00 degrees. The asymmetric unit holds Np at (0.0000, 0.0000, 0.0000), Pa at (0.0000, 0.0000, 0.5000), Te at (0.2500, 0.2500, 0.7500) and Se at (0.2500, 0.2500, 0.2500).

(2)
Np2Pa2Te2Se5: optimized geometry, PBE.

The value obtained for the calculated density is 6.722 g/cm3.

The space group is I4/mmm (No. 139) and the conventional cell measures 5.4764, 5.4764 and 26.1299 Å, with angles of 90.00, 90.00 and 90.00 degrees. The asymmetric unit holds Np at (0.0000, 0.0000, 0.1643), Pa at (0.0000, 0.0000, 0.3958), Te at (0.0000, 0.0000, 0.2818), Se at (0.0000, 0.0000, 0.5000) and Se at (0.0000, 0.5000, 0.1132).

(3)
NpPaTl2Se4: optimized geometry, PBE.

The value obtained for the calculated density is 8.318 g/cm3.

The space group is P2/m (No. 10) and the conventional cell measures 7.2227, 4.1651 and 8.2675 Å, with angles of 90.00, 106.80 and 90.00 degrees. The asymmetric unit holds Np at (0.0000, 0.0000, 0.0000), Pa at (0.5000, 0.5000, 0.0000), Tl at (0.0000, 0.5000, 0.5000), Tl at (0.5000, 0.0000, 0.5000), Se at (0.2401, 0.5000, 0.2057) and Se at (0.2688, 0.0000, 0.7932).

(4)
Np2UPaSe4: optimized geometry, PBE.

The value obtained for the calculated density is 10.980 g/cm3.

The space group is P2/m (No. 10) and the conventional cell measures 6.7998, 3.9568 and 7.4447 Å, with angles of 90.00, 108.10 and 90.00 degrees. The asymmetric unit holds Np at (0.0000, 0.0000, 0.0000), Np at (0.0000, 0.5000, 0.5000), U at (0.5000, 0.0000, 0.5000), Pa at (0.5000, 0.5000, 0.0000), Se at (0.2486, 0.0000, 0.7472) and Se at (0.2498, 0.5000, 0.2508).

(5)
NpPaSi2: optimized geometry, PBE.

The value obtained for the calculated density is 9.093 g/cm3.

The space group is R-3m (No. 166, hexagonal axes) and the conventional cell measures 4.0500, 4.0500 and 20.2185 Å, with angles of 90.00, 90.00 and 120.00 degrees. The asymmetric unit holds Np at (0.0000, 0.0000, 0.0000), Pa at (0.0000, 0.0000, 0.5000) and Si at (0.0000, 0.0000, 0.2496).

(6)
NpPa2Si: optimized geometry, PBE.

The value obtained for the calculated density is 14.192 g/cm3.

The space group is P4/mmm (No. 123) and the conventional cell measures 3.6852, 3.6852 and 6.2647 Å, with angles of 90.00, 90.00 and 90.00 degrees. The asymmetric unit holds Np at (0.0000, 0.0000, 0.0000), Pa at (0.5000, 0.5000, 0.2552) and Si at (0.0000, 0.0000, 0.5000).

| no. | DFT total energy (eV/cell) |
| --- | --- |
| 1 | -127.86 |
| 2 | -157.83 |
| 3 | -48.67 |
| 4 | -69.31 |
| 5 | -100.76 |
| 6 | -37.55 |